Entry 1:
Material: PuCu2GeO8
Method: DFT, PBE
State: optimized geometry

The calculation puts the total moment at 3.97 μB per cell. The uncorrected formation energy is -1.115 eV/atom. Its density of states at the Fermi level is 6.21 states/eV/f.u.

a b c (Å): 6.272 6.272 7.159
angles (deg): 90.00 90.00 90.00
Space group I-4m2 (No. 119)
Symmetry-distinct sites (fractional):
Pu: 0.000 0.000 0.000 (multiplicity 2)
Cu: 0.000 0.000 0.500 (multiplicity 2)
Cu: 0.000 0.500 0.250 (multiplicity 2)
Ge: 0.000 0.500 0.750 (multiplicity 2)
O: 0.000 0.206 0.700 (multiplicity 8)
O: 0.000 0.302 0.048 (multiplicity 8)



Entry 2:
Material: YBePtAu2
Method: DFT, PBE
State: optimized geometry

The calculation puts the total moment at 0.00 μB per cell. Its density of states at the Fermi level is 2.09 states/eV/f.u. The energy of formation from the pure elements is -0.556 eV per atom.

a b c (Å): 4.513 4.513 4.486
angles (deg): 90.00 90.00 90.00
Space group P4/mmm (No. 123)
Symmetry-distinct sites (fractional):
Y: 0.000 0.000 0.000 (multiplicity 1)
Be: 0.500 0.500 0.500 (multiplicity 1)
Pt: 0.500 0.500 0.000 (multiplicity 1)
Au: 0.000 0.500 0.500 (multiplicity 2)



Entry 3:
Material: SrLi2CaCd
Method: DFT, PBE
State: optimized geometry

The calculation puts the total moment at 0.00 μB per cell. Its density of states at the Fermi level is 4.18 states/eV/f.u. The energy of formation from the pure elements is 0.053 eV per atom.

a b c (Å): 5.438 5.438 5.861
angles (deg): 90.00 90.00 90.00
Space group P4/mmm (No. 123)
Symmetry-distinct sites (fractional):
Sr: 0.000 0.000 0.000 (multiplicity 1)
Li: 0.000 0.500 0.500 (multiplicity 2)
Ca: 0.500 0.500 0.000 (multiplicity 1)
Cd: 0.500 0.500 0.500 (multiplicity 1)



Entry 4:
Material: Sr3Sn5Hg6
Method: DFT, PBE
State: optimized geometry

The calculation puts the total moment at 0.00 μB per cell. Its density of states at the Fermi level is 4.85 states/eV/f.u. The energy of formation from the pure elements is -0.357 eV per atom.

a b c (Å): 4.898 14.483 11.241
angles (deg): 90.00 90.00 90.00
Space group Pmmn (No. 59, origin choice 2)
Symmetry-distinct sites (fractional):
Sr: 0.250 0.060 0.242 (multiplicity 4)
Sr: 0.250 0.750 0.247 (multiplicity 2)
Sn: 0.250 0.100 0.874 (multiplicity 4)
Sn: 0.250 0.614 0.526 (multiplicity 4)
Sn: 0.250 0.750 0.771 (multiplicity 2)
Hg: 0.250 0.080 0.619 (multiplicity 4)
Hg: 0.250 0.250 0.058 (multiplicity 2)
Hg: 0.250 0.250 0.430 (multiplicity 2)
Hg: 0.250 0.593 0.974 (multiplicity 4)



Entry 5:
Material: Dy3Y2Cu2
Method: DFT, PBE
State: optimized geometry

The calculation puts the total moment at 0.00 μB per cell. Its density of states at the Fermi level is 8.54 states/eV/f.u. The energy of formation from the pure elements is -0.126 eV per atom.

a b c (Å): 12.387 3.652 9.014
angles (deg): 90.00 116.69 90.00
Space group C2/m (No. 12)
Symmetry-distinct sites (fractional):
Dy: 0.000 0.000 0.000 (multiplicity 2)
Dy: 0.115 0.000 0.443 (multiplicity 4)
Y: 0.155 0.500 0.812 (multiplicity 4)
Cu: 0.169 0.500 0.229 (multiplicity 4)



Entry 6:
Material: TaSnMo2
Method: DFT, PBE
State: optimized geometry

The calculation puts the total moment at 0.00 μB per cell. Its density of states at the Fermi level is 5.41 states/eV/f.u. The energy of formation from the pure elements is 0.862 eV per atom.

a b c (Å): 7.456 7.456 5.617
angles (deg): 90.00 90.00 90.00
Space group I-42d (No. 122)
Symmetry-distinct sites (fractional):
Ta: 0.000 0.000 0.000 (multiplicity 4)
Sn: 0.000 0.000 0.500 (multiplicity 4)
Mo: 0.223 0.750 0.125 (multiplicity 8)



Entry 7:
Material: Nd12Y3In
Method: DFT, PBE
State: optimized geometry

The calculation puts the total moment at 0.00 μB per cell. Its density of states at the Fermi level is 22.20 states/eV/f.u. The energy of formation from the pure elements is -0.050 eV per atom.

a b c (Å): 5.101 5.101 20.699
angles (deg): 90.00 90.00 90.00
Space group P4/mmm (No. 123)
Symmetry-distinct sites (fractional):
Nd: 0.000 0.000 0.000 (multiplicity 1)
Nd: 0.000 0.000 0.247 (multiplicity 2)
Nd: 0.000 0.000 0.500 (multiplicity 1)
Nd: 0.000 0.500 0.121 (multiplicity 4)
Nd: 0.000 0.500 0.374 (multiplicity 4)
Y: 0.500 0.500 0.248 (multiplicity 2)
Y: 0.500 0.500 0.500 (multiplicity 1)
In: 0.500 0.500 0.000 (multiplicity 1)



Entry 8:
Material: SmHo5Er
Method: DFT, PBE
State: optimized geometry

The calculation puts the total moment at 0.00 μB per cell. Its density of states at the Fermi level is 11.18 states/eV/f.u. The energy of formation from the pure elements is 0.066 eV per atom.

a b c (Å): 9.230 3.584 13.812
angles (deg): 90.00 103.72 90.00
Space group P2_1/m (No. 11)
Symmetry-distinct sites (fractional):
Sm: 0.103 0.250 0.120 (multiplicity 2)
Ho: 0.002 0.750 0.377 (multiplicity 2)
Ho: 0.204 0.250 0.880 (multiplicity 2)
Ho: 0.329 0.250 0.510 (multiplicity 2)
Ho: 0.351 0.750 0.723 (multiplicity 2)
Ho: 0.414 0.750 0.078 (multiplicity 2)
Er: 0.342 0.750 0.304 (multiplicity 2)



Entry 9:
Material: MgPIr2
Method: DFT, PBE
State: optimized geometry

The calculation puts the total moment at 0.00 μB per cell. Its density of states at the Fermi level is 3.00 states/eV/f.u. The energy of formation from the pure elements is -0.282 eV per atom.

a b c (Å): 2.967 4.106 5.042
angles (deg): 90.00 107.00 90.00
Space group Pm (No. 6)
Symmetry-distinct sites (fractional):
Mg: 0.000 0.000 0.000 (multiplicity 1)
P: 0.619 0.500 0.238 (multiplicity 1)
Ir: 0.379 0.500 0.759 (multiplicity 1)
Ir: 0.733 0.000 0.464 (multiplicity 1)



Entry 10:
Material: ErGa3Tc
Method: DFT, PBE
State: optimized geometry

The calculation puts the total moment at 0.00 μB per cell. Its density of states at the Fermi level is 2.72 states/eV/f.u. The energy of formation from the pure elements is -0.173 eV per atom.

a b c (Å): 3.573 4.744 6.052
angles (deg): 90.00 90.00 90.00
Space group Pmmm (No. 47)
Symmetry-distinct sites (fractional):
Er: 0.000 0.000 0.000 (multiplicity 1)
Ga: 0.000 0.000 0.500 (multiplicity 1)
Ga: 0.500 0.500 0.206 (multiplicity 2)
Tc: 0.000 0.500 0.500 (multiplicity 1)



Entry 11:
Material: KPNF2
Method: DFT, PBE
State: optimized geometry

The calculation puts the total moment at 0.00 μB per cell. The uncorrected formation energy is -1.186 eV/atom. Its density of states at the Fermi level is 1.18 states/eV/f.u.

a b c (Å): 4.512 4.512 3.336
angles (deg): 90.00 90.00 90.00
Space group P4/mmm (No. 123)
Symmetry-distinct sites (fractional):
K: 0.000 0.000 0.000 (multiplicity 1)
P: 0.500 0.500 0.500 (multiplicity 1)
N: 0.500 0.500 0.000 (multiplicity 1)
F: 0.000 0.500 0.500 (multiplicity 2)



Entry 12:
Material: Dy3ZrTl4S8
Method: DFT, PBE
State: optimized geometry

The calculation puts the total moment at 0.00 μB per cell. The uncorrected formation energy is -1.369 eV/atom. Its density of states at the Fermi level is 6.35 states/eV/f.u.

a b c (Å): 7.8660 7.8660 23.1942
angles (deg): 90.00 90.00 120.00
Space group R-3m (No. 166, hexagonal axes)
Symmetry-distinct sites (fractional):
Dy: 0.0000 0.5000 0.0000 (multiplicity 9)
Zr: 0.0000 0.0000 0.0000 (multiplicity 3)
Tl: 0.0000 0.0000 0.5000 (multiplicity 3)
Tl: 0.0000 0.5000 0.5000 (multiplicity 9)
S: 0.0000 0.0000 0.2675 (multiplicity 6)
S: 0.0149 0.5075 0.7306 (multiplicity 18)



Entry 13:
Material: NaSrAc2
Method: DFT, PBE
State: optimized geometry

The calculation puts the total moment at 0.00 μB per cell. Its density of states at the Fermi level is 4.98 states/eV/f.u. The energy of formation from the pure elements is 0.126 eV per atom.

a b c (Å): 3.9803 3.9803 39.7440
angles (deg): 90.00 90.00 120.00
Space group R3m (No. 160, hexagonal axes)
Symmetry-distinct sites (fractional):
Na: 0.0000 0.0000 0.0000 (multiplicity 3)
Sr: 0.0000 0.0000 0.8332 (multiplicity 3)
Ac: 0.0000 0.0000 0.4147 (multiplicity 3)
Ac: 0.0000 0.0000 0.5850 (multiplicity 3)



Entry 14:
Material: NbTc2Ir
Method: DFT, PBE
State: optimized geometry

The calculation puts the total moment at 4.62 μB per cell. Its density of states at the Fermi level is 6.79 states/eV/f.u. The energy of formation from the pure elements is 0.098 eV per atom.

a b c (Å): 6.292 6.292 6.292
angles (deg): 90.00 90.00 90.00
Space group Fm-3m (No. 225)
Symmetry-distinct sites (fractional):
Nb: 0.000 0.000 0.000 (multiplicity 4)
Tc: 0.250 0.250 0.250 (multiplicity 8)
Ir: 0.000 0.000 0.500 (multiplicity 4)



Entry 15:
Material: Sm3HgCBr
Method: DFT, PBE
State: optimized geometry

The calculation puts the total moment at 1.40 μB per cell. The uncorrected formation energy is -0.504 eV/atom. Its density of states at the Fermi level is 4.41 states/eV/f.u.

a b c (Å): 8.972 3.763 10.021
angles (deg): 90.00 91.15 90.00
Space group P2_1/m (No. 11)
Symmetry-distinct sites (fractional):
Sm: 0.085 0.250 0.288 (multiplicity 2)
Sm: 0.153 0.250 0.952 (multiplicity 2)
Sm: 0.408 0.750 0.154 (multiplicity 2)
Hg: 0.272 0.750 0.722 (multiplicity 2)
C: 0.130 0.750 0.132 (multiplicity 2)
Br: 0.386 0.250 0.385 (multiplicity 2)



Entry 16:
Material: HfCo2P
Method: DFT, PBE
State: optimized geometry

The calculation puts the total moment at 3.96 μB per cell. Its density of states at the Fermi level is 2.22 states/eV/f.u. The energy of formation from the pure elements is -0.279 eV per atom.

a b c (Å): 3.851 3.851 15.711
angles (deg): 90.00 90.00 90.00
Space group I-42d (No. 122)
Symmetry-distinct sites (fractional):
Hf: 0.000 0.000 0.000 (multiplicity 4)
Co: 0.176 0.250 0.625 (multiplicity 8)
P: 0.000 0.000 0.500 (multiplicity 4)



Entry 17:
Material: Hf3Ni7P4
Method: DFT, PBE
State: optimized geometry

The calculation puts the total moment at 0.00 μB per cell. Its density of states at the Fermi level is 6.16 states/eV/f.u. The energy of formation from the pure elements is -0.898 eV per atom.

a b c (Å): 13.991 3.671 8.591
angles (deg): 90.00 125.44 90.00
Space group C2/m (No. 12)
Symmetry-distinct sites (fractional):
Hf: 0.000 0.000 0.000 (multiplicity 2)
Hf: 0.180 0.500 0.677 (multiplicity 4)
Ni: 0.000 0.000 0.500 (multiplicity 2)
Ni: 0.011 0.500 0.291 (multiplicity 4)
Ni: 0.167 0.000 0.427 (multiplicity 4)
Ni: 0.188 0.500 0.022 (multiplicity 4)
P: 0.109 0.000 0.825 (multiplicity 4)
P: 0.160 0.500 0.258 (multiplicity 4)



Entry 18:
Material: MoRh9W2
Method: DFT, PBE
State: optimized geometry

The calculation puts the total moment at 0.00 μB per cell. Its density of states at the Fermi level is 8.23 states/eV/f.u. The energy of formation from the pure elements is -0.213 eV per atom.

a b c (Å): 3.868 3.868 11.601
angles (deg): 90.00 90.00 90.00
Space group P4/mmm (No. 123)
Symmetry-distinct sites (fractional):
Mo: 0.000 0.000 0.000 (multiplicity 1)
Rh: 0.000 0.500 0.167 (multiplicity 4)
Rh: 0.000 0.500 0.500 (multiplicity 2)
Rh: 0.500 0.500 0.000 (multiplicity 1)
Rh: 0.500 0.500 0.334 (multiplicity 2)
W: 0.000 0.000 0.333 (multiplicity 2)



Entry 19:
Material: HgSb
Method: DFT, PBE
State: optimized geometry

The calculation puts the total moment at 0.00 μB per cell. The uncorrected formation energy is 0.029 eV/atom. Its density of states at the Fermi level is 0.65 states/eV/f.u.

a b c (Å): 4.3178 4.3178 22.2702
angles (deg): 90.00 90.00 120.00
Space group R-3m (No. 166, hexagonal axes)
Symmetry-distinct sites (fractional):
Hg: 0.0000 0.0000 0.1270 (multiplicity 6)
Sb: 0.0000 0.0000 0.3699 (multiplicity 6)



Entry 20:
Material: OsPbN2O
Method: DFT, PBE
State: optimized geometry

The calculation puts the total moment at 3.57 μB per cell. The uncorrected formation energy is 2.349 eV/atom. Its density of states at the Fermi level is 3.95 states/eV/f.u.

a b c (Å): 4.315 4.315 4.114
angles (deg): 90.00 90.00 90.00
Space group P4/mmm (No. 123)
Symmetry-distinct sites (fractional):
Os: 0.000 0.000 0.000 (multiplicity 1)
Pb: 0.500 0.500 0.500 (multiplicity 1)
N: 0.000 0.500 0.500 (multiplicity 2)
O: 0.500 0.500 0.000 (multiplicity 1)